DFT (PBE) results for La2CoBi after structural relaxation.

a b c (Å): 8.2285 8.2285 6.6793
angles (deg): 51.98 51.98 90.00
Atoms (fractional coordinates):
Co1 0.5000 0.5000 0.0000
Co2 0.2500 0.7500 0.5000
Bi1 0.0000 0.0000 0.0000
Bi2 0.7500 0.2500 0.5000
La1 0.5503 0.1250 0.2500
La2 0.1997 0.6250 0.2500
La3 0.3750 0.4497 0.7500
La4 0.8750 0.8003 0.7500

## Properties
Its space group is I-42d. The value obtained for the energy of formation is -0.29 eV per atom. As for the crystal system: tetragonal. Its total energy is -5.5003 eV/atom. Its total magnetic moment is 0.00 μB per atom.


DFT (PBE) results for Mg2ScCr after structural relaxation.

a b c (Å): 3.1343 4.3242 6.1597
angles (deg): 90.00 90.00 90.00
Atoms (fractional coordinates):
Cr1 0.5000 0.5000 0.7500
Mg1 0.0000 0.0000 0.9854
Mg2 0.0000 0.0000 0.5146
Sc1 0.5000 0.5000 0.2500

## Properties
Its space group is Pmmm. The value obtained for the energy of formation is 0.27 eV per atom. The relative energy among the computed polymorphs comes out at 93 meV/atom. As for the crystal system: orthorhombic. Its total energy is -4.5196 eV/atom. Its total magnetic moment is 0.83 μB per atom.


DFT (PBE) results for AlPbIO2 after structural relaxation.

a b c (Å): 4.3608 4.3608 6.1872
angles (deg): 90.00 90.00 90.00
Atoms (fractional coordinates):
Pb1 0.0000 0.0000 0.0000
I1 0.0000 0.0000 0.5000
Al1 0.5000 0.5000 0.5000
O1 0.0000 0.5000 0.0000
O2 0.5000 0.0000 0.0000

## Properties
Its space group is P4/mmm. The relative energy among the computed polymorphs comes out at 642 meV/atom. As for the crystal system: tetragonal. The formation energy without anion corrections comes out at -1.60 kcal/mol of atoms. Its total energy is -3.8528 eV/atom. Its total magnetic moment is 0.00 μB per atom.


DFT (PBE) results for NdDy2Tm4 after structural relaxation.

a b c (Å): 3.5034 9.3618 8.4371
angles (deg): 121.63 78.03 111.95
Atoms (fractional coordinates):
Nd1 0.0000 0.0000 0.0000
Dy1 0.3598 0.4297 0.1400
Dy2 0.6402 0.5703 0.8600
Tm1 0.4110 0.7057 0.5879
Tm2 0.8092 0.1648 0.7126
Tm3 0.5890 0.2943 0.4121
Tm4 0.1908 0.8352 0.2874

## Properties
Its space group is C2/m. The value obtained for the energy of formation is 0.04 eV per atom. The relative energy among the computed polymorphs comes out at 0 meV/atom. As for the crystal system: monoclinic. Its total energy is -4.5143 eV/atom. Its total magnetic moment is 0.00 μB per atom.


DFT (PBE) results for BaCoP2Se8 after structural relaxation.

a b c (Å): 6.0868 6.0868 9.3065
angles (deg): 90.00 90.00 120.00
Atoms (fractional coordinates):
Ba1 0.0000 0.0000 0.0000
Co1 0.0000 0.0000 0.5000
P1 0.6667 0.3333 0.2809
P2 0.3333 0.6667 0.7191
Se1 0.3333 0.6667 0.9547
Se2 0.2914 0.3187 0.3379
Se3 0.6813 0.9727 0.3379
Se4 0.6667 0.3333 0.0453
Se5 0.3187 0.0273 0.6621
Se6 0.7086 0.6813 0.6621
Se7 0.9727 0.2914 0.6621
Se8 0.0273 0.7086 0.3379

## Properties
Its space group is P-3. As for the crystal system: trigonal. The formation energy without anion corrections comes out at -9.06 kcal/mol of atoms. Its total energy is -4.3698 eV/atom. Its total magnetic moment is 0.00 μB per atom.


DFT (PBE) results for Ru3Pt2 after structural relaxation.

a b c (Å): 3.8624 4.7457 4.7558
angles (deg): 80.60 66.04 65.99
Atoms (fractional coordinates):
Ru1 0.8011 0.3077 0.0901
Ru2 0.0000 0.5000 0.5000
Ru3 0.1989 0.6923 0.9099
Pt1 0.4021 0.8938 0.3020
Pt2 0.5979 0.1062 0.6980

## Properties
Its space group is C2/m. The value obtained for the energy of formation is 0.02 eV per atom. The relative energy among the computed polymorphs comes out at 0 meV/atom. As for the crystal system: monoclinic. Its total energy is -7.9607 eV/atom. Its total magnetic moment is 0.00 μB per atom.


DFT (PBE) results for AcMg3Pt2 after structural relaxation.

a b c (Å): 4.1307 8.7509 8.7425
angles (deg): 65.24 76.34 76.35
Atoms (fractional coordinates):
Ac1 0.8640 0.1355 0.1365
Ac2 0.1360 0.8645 0.8635
Mg1 0.3426 0.4751 0.8397
Mg2 0.9997 0.3459 0.6548
Mg3 0.6566 0.1625 0.5242
Mg4 0.3434 0.8375 0.4758
Mg5 0.0003 0.6541 0.3452
Mg6 0.6574 0.5249 0.1603
Pt1 0.4999 0.1562 0.8439
Pt2 0.5001 0.8438 0.1561
Pt3 0.8197 0.6797 0.6809
Pt4 0.1803 0.3203 0.3191

## Properties
Its space group is C2/m. The value obtained for the energy of formation is -0.73 eV per atom. As for the crystal system: monoclinic. Its total energy is -4.2273 eV/atom. Its total magnetic moment is 0.00 μB per atom.


DFT (PBE) results for MgRe2Mo after structural relaxation.

a b c (Å): 3.0833 4.4867 4.4740
angles (deg): 90.00 90.00 90.00
Atoms (fractional coordinates):
Mg1 0.5000 0.0000 0.5000
Mo1 0.0000 0.5000 0.5000
Re1 0.0000 0.0000 0.0000
Re2 0.5000 0.5000 0.0000

## Properties
Its space group is Pmmm. The value obtained for the energy of formation is 0.38 eV per atom. As for the crystal system: orthorhombic. Its total energy is -8.9545 eV/atom. Its total magnetic moment is 0.00 μB per atom.


DFT (PBE) results for PrNd2Cu3 after structural relaxation.

a b c (Å): 8.0286 8.0286 7.2739
angles (deg): 90.00 90.00 143.12
Atoms (fractional coordinates):
Pr1 0.3337 0.6663 0.0000
Pr2 0.6663 0.3337 0.0000
Nd1 0.0000 0.0000 0.0000
Nd2 0.0000 0.0000 0.5000
Nd3 0.3331 0.6669 0.5000
Nd4 0.6669 0.3331 0.5000
Cu1 0.8342 0.1658 0.7456
Cu2 0.5000 0.5000 0.2541
Cu3 0.1658 0.8342 0.2544
Cu4 0.8342 0.1658 0.2544
Cu5 0.1658 0.8342 0.7456
Cu6 0.5000 0.5000 0.7459

## Properties
Its space group is Cmmm. The value obtained for the energy of formation is -0.13 eV per atom. The relative energy among the computed polymorphs comes out at 5 meV/atom. As for the crystal system: orthorhombic. Its total energy is -4.5643 eV/atom. Its total magnetic moment is 0.00 μB per atom.


DFT (PBE) results for NaC3O6 after structural relaxation.

a b c (Å): 7.0597 7.0597 7.0597
angles (deg): 100.91 100.91 100.91
Atoms (fractional coordinates):
Na1 0.0000 0.0000 0.0000
Na2 0.5000 0.5000 0.5000
C1 0.9022 0.7547 0.3803
C2 0.3803 0.9022 0.7547
C3 0.2453 0.6197 0.0978
C4 0.7547 0.3803 0.9022
C5 0.6197 0.0978 0.2453
C6 0.0978 0.2453 0.6197
O1 0.1602 0.6847 0.9707
O2 0.0293 0.8398 0.3153
O3 0.1711 0.3433 0.5199
O4 0.3153 0.0293 0.8398
O5 0.3433 0.5199 0.1711
O6 0.4801 0.8289 0.6567
O7 0.5199 0.1711 0.3433
O8 0.6567 0.4801 0.8289
O9 0.6847 0.9707 0.1602
O10 0.8289 0.6567 0.4801
O11 0.9707 0.1602 0.6847
O12 0.8398 0.3153 0.0293

## Properties
Its space group is R-3. The relative energy among the computed polymorphs comes out at 5 meV/atom. As for the crystal system: trigonal. The formation energy without anion corrections comes out at -25.91 kcal/mol of atoms. Its total energy is -6.9977 eV/atom. Its total magnetic moment is 0.00 μB per atom.


DFT (PBE) results for Ce5Th2Cd after structural relaxation.

a b c (Å): 6.7673 6.7645 6.6542
angles (deg): 105.18 105.19 119.00
Atoms (fractional coordinates):
Ce1 0.2474 0.3093 0.4998
Ce2 0.3012 0.7673 0.9999
Ce3 0.7869 0.2537 0.0000
Ce4 0.7477 0.8096 0.5003
Ce5 0.3520 0.2024 0.0001
Th1 0.2318 0.7962 0.4714
Th2 0.7603 0.3246 0.5285
Cd1 0.7956 0.7599 0.0000

## Properties
Its space group is Cm. The value obtained for the energy of formation is 0.03 eV per atom. As for the crystal system: monoclinic. Its total energy is -5.6488 eV/atom. Its total magnetic moment is 0.17 μB per atom.


DFT (PBE) results for La2CeTm after structural relaxation.

a b c (Å): 3.6040 3.6040 11.9421
angles (deg): 81.32 81.32 60.00
Atoms (fractional coordinates):
La1 0.0837 0.0837 0.7488
La2 0.2491 0.2491 0.2526
Ce1 0.4997 0.4997 0.5010
Tm1 0.6675 0.6675 0.9976

## Properties
Its space group is R3m. The value obtained for the energy of formation is 0.08 eV per atom. The relative energy among the computed polymorphs comes out at 16 meV/atom. As for the crystal system: trigonal. Its total energy is -4.9900 eV/atom. Its total magnetic moment is 0.18 μB per atom.


Q: Number 7 is which compound?
A: AcMg3Pt2


Q: total magnetic moment of number 11 (Ce5Th2Cd)?
A: 0.17 μB per atom


Q: Which value of total magnetic moment does entry 2 give?
A: 0.83 μB per atom